[1]
{
  "formula": "ZrSi2Au",
  "functional": "PBE-GGA",
  "state": "optimized geometry",
  "crystal_system": "monoclinic",
  "raw_formation_energy_ev_per_atom": -0.21,
  "spacegroup": "P2/m",
  "energy_ev_per_atom": -5.88,
  "lattice": [[-1.369, -0.018, -2.726], [2.679, -4.357, -1.316], [-1.533, -5.154, 0.805]],
  "species": ["Zr", "Si", "Au", "Si"],
  "frac_coords": [[0.500, 0.500, 0.500], [0.000, 0.000, 0.000], [0.000, 0.000, 0.500], [0.500, 0.500, 0.000]]
}

[2]
{
  "formula": "Zr2SiAu",
  "functional": "PBE-GGA",
  "state": "optimized geometry",
  "crystal_system": "tetragonal",
  "raw_formation_energy_ev_per_atom": -0.48,
  "spacegroup": "P4/mmm",
  "energy_ev_per_atom": -6.93,
  "lattice": [[-1.697, 4.013, 0.257], [-1.354, -0.833, 4.067], [3.467, 1.374, 1.436]],
  "species": ["Zr", "Zr", "Au", "Si"],
  "frac_coords": [[0.500, 0.500, 0.000], [0.000, 0.000, 0.000], [0.500, 0.000, 0.500], [0.000, 0.500, 0.500]]
}

[3]
{
  "formula": "Zr2SiAu",
  "functional": "PBE-GGA",
  "state": "optimized geometry",
  "crystal_system": "orthorhombic",
  "raw_formation_energy_ev_per_atom": -0.51,
  "spacegroup": "Immm",
  "energy_ev_per_atom": -6.96,
  "lattice": [[4.998, -0.009, -0.034], [1.100, 4.875, 0.034], [-2.974, -2.527, 3.122]],
  "species": ["Au", "Zr", "Si", "Zr"],
  "frac_coords": [[0.750, 0.250, 0.500], [0.002, 0.002, 0.000], [0.250, 0.750, 0.500], [0.498, 0.498, 0.000]]
}

[4]
{
  "formula": "ZrSi2Au",
  "functional": "PBE-GGA",
  "state": "optimized geometry",
  "crystal_system": "tetragonal",
  "raw_formation_energy_ev_per_atom": -0.27,
  "spacegroup": "P4mm",
  "energy_ev_per_atom": -5.94,
  "lattice": [[-3.492, 0.290, -0.628], [-0.617, -2.771, 2.151], [-0.485, 3.429, 4.280]],
  "species": ["Si", "Si", "Zr", "Au"],
  "frac_coords": [[0.500, 0.500, 0.260], [0.000, 0.000, 0.984], [0.000, 0.000, 0.466], [0.500, 0.500, 0.790]]
}

[5]
{
  "formula": "ZrSi2Au",
  "functional": "PBE-GGA",
  "state": "optimized geometry",
  "crystal_system": "orthorhombic",
  "raw_formation_energy_ev_per_atom": -0.32,
  "spacegroup": "Pmm2",
  "energy_ev_per_atom": -5.99,
  "lattice": [[4.550, 0.000, 0.000], [0.000, 2.920, 0.000], [0.000, 0.000, 5.142]],
  "species": ["Au", "Zr", "Si", "Si"],
  "frac_coords": [[0.500, 0.000, 0.760], [0.000, 0.500, 0.477], [0.000, 0.000, 0.001], [0.500, 0.000, 0.262]]
}

[6]
{
  "formula": "Zr2SiAu",
  "functional": "PBE-GGA",
  "state": "optimized geometry",
  "crystal_system": "trigonal",
  "raw_formation_energy_ev_per_atom": -0.48,
  "spacegroup": "R-3m",
  "energy_ev_per_atom": -6.93,
  "lattice": [[3.709, 0.002, -0.003], [1.852, 3.214, -0.003], [1.862, 1.077, 7.087]],
  "species": ["Zr", "Si", "Zr", "Au"],
  "frac_coords": [[0.010, 0.010, 0.971], [0.750, 0.750, 0.750], [0.490, 0.490, 0.529], [0.250, 0.250, 0.250]]
}